# 1
Entry from Alexandria: a geometry-optimized Be2WCl structure (PBE).

Results
**Spin magnetization**: 0.00 μB per formula unit
**Energy relative to the elements, uncorrected**: 0.887 eV/atom
**Distance to the lowest polymorph of the same formula**: 2.74 eV per formula unit

Structure (CIF):
```
data_Be2WCl
_cell_length_a 3.454
_cell_length_b 3.454
_cell_length_c 8.456
_cell_angle_alpha 90.00
_cell_angle_beta 90.00
_cell_angle_gamma 90.00
_space_group_name_H-M_alt 'I -4 m 2'
_space_group_IT_number 119
_space_group_name_Hall 'I -4 -2'
loop_
_atom_site_label
_atom_site_type_symbol
_atom_site_fract_x
_atom_site_fract_y
_atom_site_fract_z
_atom_site_occupancy
Be1 Be 0.000 0.000 0.000 1
Be2 Be 0.000 0.500 0.250 1
W1 W 0.000 0.000 0.500 1
Cl1 Cl 0.000 0.500 0.750 1
```

---

# 2
Entry from Alexandria: a geometry-optimized Ac8In2Ru3 structure (PBE).

Results
**ΔH_f (0 K)**: -0.1553 eV per atom
**Spin magnetization**: 0.00 μB per formula unit

Structure (CIF):
```
data_Ac8In2Ru3
_cell_length_a 8.852
_cell_length_b 4.269
_cell_length_c 14.144
_cell_angle_alpha 90.00
_cell_angle_beta 106.74
_cell_angle_gamma 90.00
_space_group_name_H-M_alt 'P 1 2/m 1'
_space_group_IT_number 10
loop_
_space_group_symop_operation_xyz
'x,y,z'
'-x,-y,-z'
'-x,y,-z'
'x,-y,z'
loop_
_atom_site_label
_atom_site_type_symbol
_atom_site_fract_x
_atom_site_fract_y
_atom_site_fract_z
_atom_site_occupancy
Ac1 Ac 0.066 0.000 0.380 1
Ac2 Ac 0.179 0.500 0.859 1
Ac3 Ac 0.352 0.500 0.620 1
Ac4 Ac 0.426 0.000 0.123 1
In1 In 0.241 0.500 0.255 1
Ru1 Ru 0.245 0.000 0.723 1
Ru2 Ru 0.500 0.500 0.000 1
```

---

# 3
Entry from Alexandria: a geometry-optimized HfPt2O structure (PBE).

Results
**Spin magnetization**: 0.00 μB per formula unit
**Energy relative to the elements, uncorrected**: -0.237 eV/atom

Structure (CIF):
```
data_HfPt2O
_cell_length_a 5.950
_cell_length_b 5.950
_cell_length_c 8.385
_cell_angle_alpha 90.00
_cell_angle_beta 90.00
_cell_angle_gamma 90.00
_space_group_name_H-M_alt 'I -4 2 d'
_space_group_IT_number 122
_space_group_name_Hall 'I -4 2bw'
loop_
_atom_site_label
_atom_site_type_symbol
_atom_site_fract_x
_atom_site_fract_y
_atom_site_fract_z
_atom_site_occupancy
Hf1 Hf 0.000 0.000 0.000 1
Pt1 Pt 0.190 0.250 0.625 1
O1 O 0.000 0.000 0.500 1
```

---

# 4
Entry from Alexandria: a geometry-optimized Zn2H2Ir structure (PBE).

Results
**Spin magnetization**: 0.00 μB per formula unit
**E**: -0.26127 Ry/atom

Structure (CIF):
```
data_Zn2H2Ir
_cell_length_a 3.740
_cell_length_b 3.740
_cell_length_c 3.924
_cell_angle_alpha 90.00
_cell_angle_beta 90.00
_cell_angle_gamma 90.00
_space_group_name_H-M_alt 'P 4/m m m'
_space_group_IT_number 123
_space_group_name_Hall '-P 4 2'
loop_
_atom_site_label
_atom_site_type_symbol
_atom_site_fract_x
_atom_site_fract_y
_atom_site_fract_z
_atom_site_occupancy
Zn1 Zn 0.000 0.500 0.000 1
H1 H 0.000 0.500 0.500 1
Ir1 Ir 0.000 0.000 0.500 1
```

---

# 5
Entry from Alexandria: a geometry-optimized Sr2Sn4Ir5 structure (PBE).

Results
**ΔH_f (0 K)**: -0.3341 eV per atom
**Spin magnetization**: 0.00 μB per formula unit

Structure (CIF):
```
data_Sr2Sn4Ir5
_cell_length_a 5.961
_cell_length_b 10.367
_cell_length_c 16.021
_cell_angle_alpha 90.00
_cell_angle_beta 90.00
_cell_angle_gamma 90.00
_space_group_name_H-M_alt 'F m m m'
_space_group_IT_number 69
_space_group_name_Hall '-F 2 2'
loop_
_atom_site_label
_atom_site_type_symbol
_atom_site_fract_x
_atom_site_fract_y
_atom_site_fract_z
_atom_site_occupancy
Sr1 Sr 0.000 0.000 0.117 1
Sn1 Sn 0.000 0.161 0.371 1
Ir1 Ir 0.000 0.000 0.500 1
Ir2 Ir 0.250 0.250 0.000 1
Ir3 Ir 0.250 0.250 0.250 1
```

---

# 6
Entry from Alexandria: a geometry-optimized CeNd2Rh9 structure (PBE).

Results
**ΔH_f (0 K)**: -0.5241 eV per atom
**Spin magnetization**: 0.00 μB per formula unit

Structure (CIF):
```
data_CeNd2Rh9
_cell_length_a 5.3008
_cell_length_b 5.3008
_cell_length_c 26.6791
_cell_angle_alpha 90.00
_cell_angle_beta 90.00
_cell_angle_gamma 120.00
_space_group_name_H-M_alt 'R -3 m'
_space_group_IT_number 166
_space_group_name_Hall '-R 3 2"'
loop_
_atom_site_label
_atom_site_type_symbol
_atom_site_fract_x
_atom_site_fract_y
_atom_site_fract_z
_atom_site_occupancy
Ce1 Ce 0.0000 0.0000 0.0000 1
Nd1 Nd 0.0000 0.0000 0.1389 1
Rh1 Rh 0.0000 0.0000 0.3330 1
Rh2 Rh 0.0000 0.0000 0.5000 1
Rh3 Rh 0.0004 0.5002 0.0816 1
```

---

# 7
Entry from Alexandria: a geometry-optimized YFeRe2 structure (PBE).

Results
**ΔH_f (0 K)**: 0.3571 eV per atom
**Spin magnetization**: 1.12 μB per formula unit
**Distance to the lowest polymorph of the same formula**: 0.72 eV per formula unit

Structure (CIF):
```
data_YFeRe2
_cell_length_a 2.816
_cell_length_b 2.816
_cell_length_c 8.214
_cell_angle_alpha 90.00
_cell_angle_beta 90.00
_cell_angle_gamma 90.00
_space_group_name_H-M_alt 'P 4/m m m'
_space_group_IT_number 123
_space_group_name_Hall '-P 4 2'
loop_
_atom_site_label
_atom_site_type_symbol
_atom_site_fract_x
_atom_site_fract_y
_atom_site_fract_z
_atom_site_occupancy
Y1 Y 0.000 0.000 0.000 1
Fe1 Fe 0.000 0.000 0.500 1
Re1 Re 0.500 0.500 0.298 1
```